No. 1
This record from Alexandria describes Be2ZnNi2 after structural relaxation. The functional is PBE-GGA.

Calculated values
M_tot in Bohr magnetons per cell: 0.00
DFT formation energy in meV/atom: -321.1
Symmetry: P4/mbm

Cell and atoms, written as extended XYZ:
```
10
Lattice="6.225 0.000 0.000 0.000 6.225 0.000 0.000 0.000 2.583" Properties=species:S:1:pos:R:3 pbc="T T T"
Be 0.781 2.331 0.000
Be 2.331 5.444 0.000
Be 3.894 0.781 0.000
Be 5.444 3.894 0.000
Zn 0.000 0.000 0.000
Zn 3.112 3.112 0.000
Ni 1.035 4.147 1.292
Ni 2.078 1.035 1.292
Ni 4.147 5.190 1.292
Ni 5.190 2.078 1.292
```


No. 2
This record from Alexandria describes BaPm4Se6 after structural relaxation. The functional is PBE-GGA.

Calculated values
ΔE_f (raw) in eV/atom: -1.91
M_tot in Bohr magnetons per cell: 0.00
Symmetry: Cmcm

Cell and atoms, written as extended XYZ:
```
22
Lattice="2.128 -6.950 0.000 2.128 6.950 0.000 0.000 0.000 21.756" Properties=species:S:1:pos:R:3 pbc="T T T"
Ba 2.128 4.733 16.317
Ba 2.128 -4.733 5.439
Pm 2.128 5.640 2.764
Pm 2.128 5.640 8.114
Pm 2.128 1.915 0.861
Pm 2.128 1.915 10.017
Pm 2.128 -1.915 11.739
Pm 2.128 -1.915 20.896
Pm 2.128 -5.640 13.642
Pm 2.128 -5.640 18.992
Se 0.000 0.000 0.000
Se 0.000 0.000 10.878
Se 2.128 4.632 5.439
Se 2.128 3.222 12.768
Se 2.128 3.222 19.867
Se 2.128 0.583 3.463
Se 2.128 0.583 7.416
Se 2.128 -0.583 14.341
Se 2.128 -0.583 18.294
Se 2.128 -3.222 1.889
Se 2.128 -3.222 8.989
Se 2.128 -4.632 16.317
```


No. 3
This record from Alexandria describes CoIrOs2 after structural relaxation. The functional is PBE-GGA.

Calculated values
M_tot in Bohr magnetons per cell: 2.59
DFT formation energy in meV/atom: 513.0
Symmetry: Cmmm

Cell and atoms, written as extended XYZ:
```
4
Lattice="1.354 -2.304 0.000 1.354 2.304 0.000 0.000 0.000 9.064" Properties=species:S:1:pos:R:3 pbc="T T T"
Co 0.000 0.000 0.000
Ir 0.000 0.000 4.532
Os 1.354 0.000 2.165
Os 1.354 0.000 6.899
```